[1]
Density functional theory data (PBE-GGA) for a geometry-optimized AlN2Cl structure.

The value obtained for the density is 2.90 Mg/m³. Its uncorrected formation energy is 1751 meV per atom. The value obtained for the density of states at the Fermi level is 1.15 states/eV per cell. As for the offset from the most stable computed form: 134.0 kJ/mol of atoms.

Cell: 6.291 6.291 6.291 Å, 28.99 28.99 28.99°
Element x y z (fractional)
N1 0.896 0.896 0.896
N2 0.104 0.104 0.104
Al1 0.000 0.000 0.000
Cl1 0.500 0.500 0.500

***

[2]
Density functional theory data (PBE-GGA) for a geometry-optimized AlNCl2 structure.

The value obtained for the density is 2.77 Mg/m³. Its uncorrected formation energy is 920 meV per atom. The value obtained for the density of states at the Fermi level is 0.87 states/eV per cell. As for the offset from the most stable computed form: 115.3 kJ/mol of atoms.

Cell: 4.560 4.560 4.560 Å, 60.00 60.00 60.00°
Element x y z (fractional)
N1 0.000 0.000 0.000
Al1 0.500 0.500 0.500
Cl1 0.250 0.250 0.250
Cl2 0.750 0.750 0.750

***

[3]
Density functional theory data (PBE-GGA) for a geometry-optimized AlNCl2 structure.

The value obtained for the density is 2.40 Mg/m³. Its uncorrected formation energy is -275 meV per atom. The value obtained for the density of states at the Fermi level is 0.00 states/eV per cell. As for the offset from the most stable computed form: 0.0 kJ/mol of atoms.

Cell: 9.058 9.058 6.679 Å, 47.30 47.30 90.00°
Element x y z (fractional)
N1 0.500 0.500 0.000
N2 0.250 0.750 0.500
Al1 0.000 0.000 0.000
Al2 0.750 0.250 0.500
Cl1 0.792 0.125 0.250
Cl2 0.958 0.625 0.250
Cl3 0.375 0.208 0.750
Cl4 0.875 0.042 0.750

***

[4]
Density functional theory data (PBE-GGA) for a geometry-optimized Al2N2Cl structure.

The value obtained for the density is 3.54 Mg/m³. Its uncorrected formation energy is 44 meV per atom. The value obtained for the density of states at the Fermi level is 1.09 states/eV per cell. As for the offset from the most stable computed form: 0.0 kJ/mol of atoms.

Cell: 4.040 4.040 4.419 Å, 62.80 62.80 90.00°
Element x y z (fractional)
N1 0.389 0.389 0.221
N2 0.611 0.611 0.779
Al1 0.750 0.250 0.500
Al2 0.250 0.750 0.500
Cl1 0.000 0.000 0.000

***

[5]
Density functional theory data (PBE-GGA) for a geometry-optimized AlN2Cl4 structure.

The value obtained for the density is 1.99 Mg/m³. Its uncorrected formation energy is 82 meV per atom. The value obtained for the density of states at the Fermi level is 2.10 states/eV per cell.

Cell: 3.546 9.377 7.851 Å, 103.93 121.11 48.10°
Element x y z (fractional)
Al1 0.000 0.000 0.000
N1 0.371 0.241 0.805
N2 0.629 0.759 0.195
Cl1 0.284 0.607 0.237
Cl2 0.716 0.393 0.763
Cl3 0.470 0.892 0.804
Cl4 0.530 0.108 0.196

***

[6]
Density functional theory data (PBE-GGA) for a geometry-optimized AlN2Cl structure.

The value obtained for the density is 2.51 Mg/m³. Its uncorrected formation energy is 819 meV per atom. The value obtained for the density of states at the Fermi level is 3.63 states/eV per cell. As for the offset from the most stable computed form: 44.1 kJ/mol of atoms.

Cell: 4.491 4.491 6.729 Å, 70.51 70.51 90.00°
Element x y z (fractional)
N1 0.375 0.125 0.250
N2 0.375 0.625 0.250
N3 0.375 0.625 0.750
N4 0.875 0.625 0.750
Al1 0.500 0.500 0.000
Al2 0.250 0.750 0.500
Cl1 0.000 0.000 0.000
Cl2 0.750 0.250 0.500

***

[7]
Density functional theory data (PBE-GGA) for a geometry-optimized AlN2Cl structure.

The value obtained for the density is 3.23 Mg/m³. Its uncorrected formation energy is 362 meV per atom. The value obtained for the density of states at the Fermi level is 3.24 states/eV per cell. As for the offset from the most stable computed form: 0.0 kJ/mol of atoms.

Cell: 5.930 5.930 5.930 Å, 30.12 30.12 30.12°
Element x y z (fractional)
N1 0.890 0.890 0.890
N2 0.110 0.110 0.110
Al1 0.500 0.500 0.500
Cl1 0.000 0.000 0.000

***

[8]
Density functional theory data (PBE-GGA) for a geometry-optimized Al2N2Cl structure.

The value obtained for the density is 3.46 Mg/m³. Its uncorrected formation energy is 574 meV per atom. The value obtained for the density of states at the Fermi level is 4.78 states/eV per cell. As for the offset from the most stable computed form: 51.1 kJ/mol of atoms.

Cell: 6.435 6.435 2.721 Å, 90.00 90.00 90.00°
Element x y z (fractional)
N1 0.367 0.867 0.000
N2 0.867 0.633 0.000
N3 0.633 0.133 0.000
N4 0.133 0.367 0.000
Al1 0.143 0.643 0.500
Al2 0.643 0.857 0.500
Al3 0.857 0.357 0.500
Al4 0.357 0.143 0.500
Cl1 0.000 0.000 0.000
Cl2 0.500 0.500 0.000